# SrTc2Ge2

A relaxed SrTc2Ge2 crystal (GGA-PBE, Alexandria).

## Properties
DOS(E_F)	2.45	states/eV/f.u.
E_tot	-6.6522	eV per atom
space-group type	Imma, No. 74

```
SrTc2Ge2
1.0
-2.105 2.147 11.207
2.105 -2.147 11.207
2.105 2.147 -11.207
Sr Tc Ge
2 4 4
direct
0.408 0.158 0.250 Sr
0.592 0.842 0.750 Sr
0.218 0.968 0.250 Tc
0.283 0.533 0.750 Tc
0.717 0.467 0.250 Tc
0.782 0.032 0.750 Tc
0.030 0.280 0.750 Ge
0.150 0.400 0.750 Ge
0.850 0.600 0.250 Ge
0.970 0.720 0.250 Ge
```